KTcSCl2 | PBE | relaxed

total magnetization = 0.7 μB/cell
density of states at the Fermi level = 2.274 states/eV/f.u.
total DFT energy (no corrections) = -4.618 eV/atom

Cell and atoms, written as POSCAR:
```
KTcSCl2
1.0
-1.275 -4.837 -1.048
4.737 -0.879 -1.707
1.260 -1.226 4.127
Cl Tc S K
2 1 1 1
Cartesian
-0.638 -2.419 -0.524 Cl
2.368 -0.439 -0.854 Cl
0.000 0.000 0.000 Tc
0.630 -0.613 2.064 S
2.361 -3.471 0.686 K
```



KTeS2Cl | PBE | relaxed

total magnetization = 0.0 μB/cell
density of states at the Fermi level = 11.365 states/eV/f.u.
total DFT energy (no corrections) = -2.011 eV/atom

Cell and atoms, written as POSCAR:
```
KTeS2Cl
1.0
5.524 0.000 0.000
0.000 5.524 0.000
0.000 0.000 5.291
S Te Cl K
2 1 1 1
Cartesian
0.000 2.762 0.000 S
2.762 0.000 0.000 S
2.762 2.762 2.646 Te
0.000 0.000 2.646 Cl
0.000 0.000 0.000 K
```



KTeS2Cl | PBE | relaxed

total magnetization = 0.0 μB/cell
density of states at the Fermi level = 1.368 states/eV/f.u.
total DFT energy (no corrections) = -3.329 eV/atom

Cell and atoms, written as POSCAR:
```
KTeS2Cl
1.0
5.144 0.000 0.000
0.000 5.144 0.000
0.000 0.000 5.484
Te S Cl K
1 2 1 1
Cartesian
0.000 0.000 0.000 Te
0.000 2.572 0.000 S
2.572 0.000 0.000 S
0.000 0.000 2.742 Cl
2.572 2.572 2.742 K
```